Entry 1:
Computed, not measured: a relaxed BaIn2Rh crystal at the GGA-PBE level of DFT.

POSCAR file:
```
BaIn2Rh
1.0
-2.791 -1.045 3.467
3.167 -0.060 2.532
0.768 6.219 2.492
Ba In Rh
1 2 1
Cartesian
1.397 3.746 5.268 Ba
3.262 0.767 2.858 In
0.202 0.902 3.449 In
1.418 2.719 1.961 Rh
```

Results
N(E_F) = 0.580 states/eV/atom
Energy of formation from the pure elements = -0.176 eV per atom
Crystal system = monoclinic
VASP energy = -3.864 eV/atom

***

Entry 2:
Computed, not measured: a relaxed BaIn12Rh6 crystal at the GGA-PBE level of DFT.

POSCAR file:
```
BaIn12Rh6
1.0
7.868 -0.064 -0.091
-2.013 7.606 -0.091
-2.013 -2.593 7.152
Ba In Rh
1 12 6
Cartesian
0.000 0.000 0.000 Ba
5.659 -0.427 3.485 In
4.314 2.846 4.008 In
1.687 2.174 5.933 In
2.155 0.065 2.963 In
2.155 2.776 1.037 In
-0.472 2.104 2.963 In
-1.817 1.518 6.225 In
1.921 6.333 0.745 In
-1.817 5.377 3.485 In
5.659 3.431 0.745 In
1.921 -1.384 6.225 In
1.687 4.885 4.008 In
4.318 1.282 1.805 Rh
0.172 0.221 4.844 Rh
0.172 4.501 1.805 Rh
3.671 4.728 2.126 Rh
-0.475 3.667 5.165 Rh
3.671 0.449 5.165 Rh
```

Results
N(E_F) = 0.365 states/eV/atom
Energy of formation from the pure elements = -0.354 eV per atom
Crystal system = trigonal
VASP energy = -4.506 eV/atom

***

Entry 3:
Computed, not measured: a relaxed BaIn3Rh crystal at the GGA-PBE level of DFT.

POSCAR file:
```
BaIn3Rh
1.0
4.420 0.000 0.000
0.000 7.491 -3.246
0.000 -0.388 8.155
Ba In Rh
2 6 2
Cartesian
2.210 5.270 -0.032 Ba
2.210 1.833 4.941 Ba
2.210 0.000 0.000 In
0.000 0.447 2.297 In
0.000 6.656 2.611 In
0.000 4.796 5.303 In
0.000 3.552 2.454 In
0.000 2.307 -0.395 In
2.210 2.173 1.502 Rh
2.210 4.930 3.407 Rh
```

Results
N(E_F) = 0.560 states/eV/atom
Energy of formation from the pure elements = -0.424 eV per atom
Crystal system = orthorhombic
VASP energy = -3.922 eV/atom

***

Entry 4:
Computed, not measured: a relaxed BaIn3Rh3 crystal at the GGA-PBE level of DFT.

POSCAR file:
```
BaIn3Rh3
1.0
-4.071 -4.984 3.461
2.685 -5.218 -4.355
5.442 -1.154 4.739
Rh Ba In
6 2 6
Cartesian
3.392 -1.882 1.281 Rh
4.735 -4.490 -0.897 Rh
2.046 -3.358 5.285 Rh
-1.711 -6.347 0.419 Rh
-0.675 -2.781 2.915 Rh
0.325 -3.855 -1.312 Rh
2.028 -5.678 1.923 Ba
0.000 0.000 0.000 Ba
1.703 -1.823 3.235 In
2.703 -2.897 -0.993 In
-0.022 -6.405 -1.536 In
-0.333 -4.315 4.965 In
5.424 -3.475 1.377 In
-1.364 -3.797 0.642 In
```

Results
N(E_F) = 0.636 states/eV/atom
Energy above the lowest structure with this stoichiometry = 9.1 kJ per mole of atoms
Energy of formation from the pure elements = -0.045 eV per atom
Crystal system = cubic
VASP energy = -4.644 eV/atom

***

Entry 5:
Computed, not measured: a relaxed BaIn3Rh2 crystal at the GGA-PBE level of DFT.

POSCAR file:
```
BaIn3Rh2
1.0
-4.506 3.592 3.542
-1.359 -1.662 6.414
3.674 5.331 5.726
Ba In Rh
2 6 4
Cartesian
-2.182 4.996 11.531 Ba
-0.008 2.265 4.151 Ba
-1.287 1.004 7.120 In
-2.817 3.558 5.723 In
-3.478 2.750 8.842 In
0.627 3.703 9.959 In
-0.903 6.257 8.562 In
1.288 4.511 6.840 In
0.000 0.000 0.000 Rh
-0.679 -0.831 3.207 Rh
-2.932 0.965 4.978 Rh
-2.253 1.796 1.771 Rh
```

Results
N(E_F) = 0.747 states/eV/atom
Energy of formation from the pure elements = -0.135 eV per atom
Crystal system = trigonal
VASP energy = -4.275 eV/atom

***

Entry 6:
Computed, not measured: a relaxed Ba2In2Rh crystal at the GGA-PBE level of DFT.

POSCAR file:
```
Ba2In2Rh
1.0
4.418 0.000 0.000
2.209 6.451 -0.478
2.209 -0.519 11.558
Ba In Rh
4 4 2
Cartesian
4.418 2.095 3.796 Ba
6.627 1.265 9.939 Ba
4.418 3.836 7.285 Ba
2.209 4.666 1.141 Ba
2.209 0.776 6.353 In
6.627 5.017 9.801 In
6.627 5.156 4.728 In
2.209 0.914 1.280 In
4.418 -0.071 7.792 Rh
4.418 6.003 3.289 Rh
```

Results
N(E_F) = 0.739 states/eV/atom
Energy above the lowest structure with this stoichiometry = 0.0 kJ per mole of atoms
Energy of formation from the pure elements = -0.403 eV per atom
Crystal system = monoclinic
VASP energy = -3.737 eV/atom